Record 1
Crystalline SrW5 at its relaxed geometry, computed with PBE-GGA.

Output
- Uncorrected energy: -61.212 eV/cell
- E_form: 0.87 eV per atom
- Energy above the most stable polymorph in this dataset: 0.282 eV per atom
- Mass density: 14.17 Mg/m³
- SG: Amm2, No. 38

abc: 9.4616 9.4616 4.6615
angles: 90.00 90.00 163.57
With the nearest neighbours (Å) after each atom.
Sites, in units of the cell vectors:
Sr (0.0097, 0.9903, 0.0000)  2 Sr 2.70
W (0.4011, 0.5989, 0.5000)  6 W 2.65-2.85
W (0.3337, 0.6663, 0.0000)  8 W 2.65-2.97
W (0.6868, 0.3132, 0.0000)  8 W 2.70-2.86
W (0.7671, 0.2329, 0.5000)  12 W 2.70-2.97
W (0.1348, 0.8652, 0.5000)  8 W 2.70-2.86



Record 2
Crystalline PrTmFe at its relaxed geometry, computed with PBE-GGA.

Output
- Uncorrected energy: -17.330 eV/cell
- E_form: 0.13 eV per atom
- Energy above the most stable polymorph in this dataset: 0.074 eV per atom
- Mass density: 8.18 Mg/m³
- SG: I4mm, No. 107

abc: 3.3831 3.3831 6.9124
angles: 104.16 104.16 90.00
With the nearest neighbours (Å) after each atom.
Sites, in units of the cell vectors:
Fe (0.6612, 0.6612, 0.3223)  4 Tm 2.83, 4 Pr 2.95
Pr (0.2948, 0.2948, 0.5897)  4 Fe 2.95, 1 Tm 3.25
Tm (0.0440, 0.0440, 0.0880)  4 Fe 2.83



Record 3
Crystalline Sc2FeHg at its relaxed geometry, computed with PBE-GGA.

Output
- Uncorrected energy: -20.726 eV/cell
- E_form: 0.18 eV per atom
- Mass density: 7.00 Mg/m³
- SG: R3m, No. 160

abc: 9.5019 9.5019 9.5019
angles: 19.33 19.33 19.33
With the nearest neighbours (Å) after each atom.
Sites, in units of the cell vectors:
Fe (0.5000, 0.5000, 0.5000)  3 Sc 2.75, 3 Hg 2.81
Hg (0.7573, 0.7573, 0.7573)  3 Fe 2.81, 3 Sc 3.07
Sc (0.2399, 0.2399, 0.2399)  3 Fe 2.75
Sc (0.0028, 0.0028, 0.0028)  3 Hg 3.07, 9 Sc 3.19-3.26



Record 4
Crystalline CsIn2RuPb at its relaxed geometry, computed with PBE-GGA.

Output
- Uncorrected energy: -19.285 eV/cell
- E_form: 0.01 eV per atom
- Mass density: 7.33 Mg/m³
- SG: P4/mmm, No. 123

abc: 5.3185 5.3185 5.3700
angles: 90.00 90.00 90.00
With the nearest neighbours (Å) after each atom.
Sites, in units of the cell vectors:
Ru (0.0000, 0.0000, 0.0000)  4 In 2.66, 2 Pb 2.68
Pb (0.0000, 0.0000, 0.5000)  2 Ru 2.68
In (0.5000, 0.0000, 0.0000)  2 Ru 2.66
In (0.0000, 0.5000, 0.0000)  2 Ru 2.66
Cs (0.5000, 0.5000, 0.5000)  4 Pb 3.76, 8 In 3.78